1.
Here is a relaxed Nb2HIrPd crystal from Alexandria. Energies are from PBE.

a b c (Å): 4.072 4.072 4.053
angles (deg): 90.00 90.00 90.00
Space group P4/mmm (No. 123)
One atom of each set of equivalent atoms:
Nb (0.000, 0.500, 0.000) (multiplicity 2)
H (0.000, 0.000, 0.000) (multiplicity 1)
Ir (0.000, 0.000, 0.500) (multiplicity 1)
Pd (0.500, 0.500, 0.500) (multiplicity 1)

## Properties
E above lowest polymorph	0.09	eV/f.u.
N(E_F)	2.8	states/eV/cell
total energy	-7.822	eV per atom

---

2.
Here is a relaxed Nb2HIrPd crystal from Alexandria. Energies are from PBE.

a b c (Å): 4.063 4.063 4.064
angles (deg): 90.00 90.00 90.00
Space group P4/mmm (No. 123)
One atom of each set of equivalent atoms:
Nb (0.000, 0.500, 0.000) (multiplicity 2)
H (0.000, 0.000, 0.000) (multiplicity 1)
Ir (0.500, 0.500, 0.500) (multiplicity 1)
Pd (0.000, 0.000, 0.500) (multiplicity 1)

## Properties
E above lowest polymorph	0.00	eV/f.u.
N(E_F)	3.4	states/eV/cell
total energy	-7.840	eV per atom

---

3.
Here is a relaxed NbHIr2Pt crystal from Alexandria. Energies are from PBE.

a b c (Å): 4.035 4.035 3.968
angles (deg): 90.00 90.00 90.00
Space group P4/mmm (No. 123)
One atom of each set of equivalent atoms:
Nb (0.000, 0.000, 0.000) (multiplicity 1)
H (0.500, 0.500, 0.500) (multiplicity 1)
Ir (0.000, 0.500, 0.500) (multiplicity 2)
Pt (0.500, 0.500, 0.000) (multiplicity 1)

## Properties
E above lowest polymorph	0.07	eV/f.u.
N(E_F)	2.4	states/eV/cell
total energy	-7.689	eV per atom

---

4.
Here is a relaxed NbHIr2Pt crystal from Alexandria. Energies are from PBE.

a b c (Å): 3.979 3.979 4.062
angles (deg): 90.00 90.00 90.00
Space group P4/mmm (No. 123)
One atom of each set of equivalent atoms:
Nb (0.000, 0.000, 0.000) (multiplicity 1)
H (0.000, 0.000, 0.500) (multiplicity 1)
Ir (0.000, 0.500, 0.500) (multiplicity 2)
Pt (0.500, 0.500, 0.000) (multiplicity 1)

## Properties
E above lowest polymorph	0.00	eV/f.u.
N(E_F)	2.8	states/eV/cell
total energy	-7.704	eV per atom